Arrangement P

This record from Alexandria describes RbPmSb2 after structural relaxation. The functional is PBE.

Summary:
The value obtained for the calculated volume is 39.7 Å³ per atom. The density of states at the Fermi level is 0.63 states/eV/atom. The space-group type is R-3m, No. 166. For the calculated density, the calculation gives 5.0 g/cm³. For the magnetization, the calculation gives 0.00 μB/f.u.

a = 4.563 Å, b = 4.563 Å, c = 9.202 Å
α = 75.65°, β = 75.65°, γ = 60.00°
Fractional positions:
Sb: 0.268 0.268 0.197
Pm: 0.000 0.000 0.000
Sb: 0.732 0.732 0.803
Rb: 0.500 0.500 0.500

***

Arrangement Q

This record from Alexandria describes RbPmSb2 after structural relaxation. The functional is PBE.

Summary:
The value obtained for the calculated volume is 32.8 Å³ per atom. The density of states at the Fermi level is 1.69 states/eV/atom. The space-group type is Fm-3m, No. 225. For the calculated density, the calculation gives 6.0 g/cm³. For the magnetization, the calculation gives 0.00 μB/f.u.

a = 5.702 Å, b = 5.702 Å, c = 5.702 Å
α = 60.00°, β = 60.00°, γ = 60.00°
Fractional positions:
Rb: 0.500 0.500 0.500
Sb: 0.250 0.250 0.250
Sb: 0.750 0.750 0.750
Pm: 0.000 0.000 0.000

***

So which one is most stable? That would be arrangement P, about 0.144 eV/atom below the next structure.

***

Arrangement P

This record from Alexandria describes RbPmSb2 after structural relaxation. The functional is PBE.

Summary:
The value obtained for the calculated volume is 32.1 Å³ per atom. The density of states at the Fermi level is 0.62 states/eV/atom. The space-group type is P4/mmm, No. 123. For the calculated density, the calculation gives 6.1 g/cm³. For the magnetization, the calculation gives 0.00 μB/f.u.

a = 4.463 Å, b = 5.368 Å, c = 5.368 Å
α = 90.00°, β = 90.00°, γ = 90.00°
Fractional positions:
Sb: 0.000 0.500 0.000
Sb: 0.000 0.000 0.500
Rb: 0.500 0.500 0.500
Pm: 0.500 0.000 0.000

***

Arrangement Q

This record from Alexandria describes RbPmSb2 after structural relaxation. The functional is PBE.

Summary:
The value obtained for the calculated volume is 35.4 Å³ per atom. The density of states at the Fermi level is 0.53 states/eV/atom. The space-group type is P4/mmm, No. 123. For the calculated density, the calculation gives 5.6 g/cm³. For the magnetization, the calculation gives 0.00 μB/f.u.

a = 4.242 Å, b = 4.242 Å, c = 7.864 Å
α = 90.00°, β = 90.00°, γ = 90.00°
Fractional positions:
Sb: 0.000 0.000 0.815
Pm: 0.500 0.500 0.000
Sb: 0.000 0.000 0.185
Rb: 0.500 0.500 0.500

***

So which one is most stable? That would be arrangement Q, about 0.300 eV/atom below the next structure.

***

Arrangement P

This record from Alexandria describes RbPm4Se6 after structural relaxation. The functional is PBE.

Summary:
The value obtained for the calculated volume is 31.0 Å³ per atom. The density of states at the Fermi level is 0.29 states/eV/atom. The space-group type is I-42m, No. 121. For the calculated density, the calculation gives 5.5 g/cm³. For the magnetization, the calculation gives 0.00 μB/f.u.

a = 7.709 Å, b = 7.709 Å, c = 7.709 Å
α = 97.24°, β = 115.91°, γ = 115.91°
Fractional positions:
Se: 0.500 0.000 0.500
Pm: 0.000 0.203 0.588
Se: 0.703 0.168 0.168
Se: 0.000 0.832 0.535
Pm: 0.615 0.412 0.412
Pm: 0.000 0.588 0.203
Pm: 0.385 0.797 0.797
Se: 0.000 0.535 0.832
Se: 0.500 0.500 0.000
Se: 0.297 0.465 0.465
Rb: 0.000 0.000 0.000

***

Arrangement Q

This record from Alexandria describes RbPm4Se6 after structural relaxation. The functional is PBE.

Summary:
The value obtained for the calculated volume is 30.6 Å³ per atom. The density of states at the Fermi level is 0.22 states/eV/atom. The space-group type is Cmcm, No. 63. For the calculated density, the calculation gives 5.6 g/cm³. For the magnetization, the calculation gives 0.00 μB/f.u.

a = 4.247 Å, b = 7.376 Å, c = 22.407 Å
α = 90.00°, β = 90.00°, γ = 106.73°
Fractional positions:
Se: 0.660 0.320 0.750
Se: 0.771 0.542 0.420
Pm: 0.868 0.737 0.541
Pm: 0.132 0.263 0.459
Pm: 0.868 0.737 0.959
Pm: 0.401 0.802 0.133
Se: 0.036 0.072 0.347
Pm: 0.132 0.263 0.041
Pm: 0.599 0.198 0.633
Se: 0.771 0.542 0.080
Se: 0.500 0.000 0.500
Se: 0.340 0.680 0.250
Se: 0.964 0.928 0.847
Se: 0.229 0.458 0.920
Pm: 0.599 0.198 0.867
Rb: 0.346 0.692 0.750
Se: 0.036 0.072 0.153
Rb: 0.654 0.308 0.250
Se: 0.964 0.928 0.653
Se: 0.229 0.458 0.580
Se: 0.500 0.000 0.000
Pm: 0.401 0.802 0.367

***

So which one is most stable? That would be arrangement Q, about 0.271 eV/atom below the next structure.